Material: Cs2YIr3O12
Method: DFT, PBE
State: relaxed

Cell lengths 7.6830, 7.6830, 7.6830 Å; angles 56.98, 56.98, 56.98 degrees
Closest atoms and distances in Å follow each position.
Sites, in units of the cell vectors:
Cs 0.6151 0.6151 0.6151  9 O 3.23-3.56
Cs 0.3849 0.3849 0.3849  9 O 3.23-3.56
Y 0.0000 0.0000 0.0000  6 O 2.25
Ir 0.5000 0.0000 0.0000  6 O 1.89-1.95
Ir 0.0000 0.5000 0.0000  6 O 1.89-1.95
Ir 0.0000 0.0000 0.5000  6 O 1.89-1.95
O 0.3109 0.3109 0.9175  2 Ir 1.95
O 0.9281 0.9281 0.3532  1 Ir 1.89
O 0.3532 0.9281 0.9281  1 Ir 1.89
O 0.9175 0.3109 0.3109  2 Ir 1.95
O 0.9281 0.3532 0.9281  1 Ir 1.89
O 0.3109 0.9175 0.3109  2 Ir 1.95
O 0.6891 0.6891 0.0825  2 Ir 1.95
O 0.0719 0.0719 0.6468  1 Ir 1.89
O 0.6468 0.0719 0.0719  1 Ir 1.89
O 0.0825 0.6891 0.6891  2 Ir 1.95
O 0.0719 0.6468 0.0719  1 Ir 1.89
O 0.6891 0.0825 0.6891  2 Ir 1.95

Summary:
The uncorrected formation energy is -2095.4 kJ/mol of formula units. As for the space group: R-3m (166).

Material: Tb2Be3ZnAu4
Method: DFT, PBE
State: relaxed

Cell lengths 4.3147, 4.3147, 9.3931 Å; angles 90.00, 90.00, 90.00 degrees
Closest atoms and distances in Å follow each position.
Sites, in units of the cell vectors:
Tb 0.5000 0.0000 0.2507  7 Be 3.18-3.40, 2 Zn 3.18, 8 Au 3.19-3.21
Tb 0.0000 0.5000 0.7493  7 Be 3.18-3.40, 2 Zn 3.18, 8 Au 3.19-3.21
Be 0.0000 0.0000 0.5000  4 Au 2.55
Be 0.5000 0.0000 0.8885  5 Au 2.29-2.40
Be 0.0000 0.5000 0.1115  5 Au 2.29-2.40
Zn 0.5000 0.5000 0.5000  4 Au 2.55
Au 0.5000 0.5000 0.0000  4 Be 2.40
Au 0.0000 0.0000 0.0000  4 Be 2.40
Au 0.5000 0.0000 0.6442  3 Be 2.29-2.55, 2 Zn 2.55
Au 0.0000 0.5000 0.3558  3 Be 2.29-2.55, 2 Zn 2.55

Summary:
The calculation puts the formation enthalpy at 0 K at -0.47 eV/atom. As for the space group: P-4m2 (115).

Material: La2SmDyTh
Method: DFT, PBE
State: relaxed

Cell lengths 6.3724, 9.1251, 6.5677 Å; angles 108.78, 90.00, 90.00 degrees
Closest atoms and distances in Å follow each position.
Sites, in units of the cell vectors:
La 0.6931 0.6846 0.8390  1 La 3.19, 1 Th 3.36, 2 Dy 3.37-3.46, 1 Sm 3.41
La 0.6931 0.3154 0.6610  1 La 3.19, 1 Th 3.36, 2 Dy 3.37-3.46, 1 Sm 3.41
La 0.3069 0.6846 0.3390  1 La 3.19, 1 Th 3.36, 2 Dy 3.37-3.46, 1 Sm 3.41
La 0.3069 0.3154 0.1610  1 La 3.19, 1 Th 3.36, 2 Dy 3.37-3.46, 1 Sm 3.41
Sm 0.1652 0.5000 0.7500  8 La 3.41-3.80
Sm 0.8348 0.5000 0.2500  8 La 3.41-3.80
Dy 0.5074 0.0000 0.2500  2 Dy 3.29, 4 La 3.37-3.46, 4 Th 3.54-3.63
Dy 0.4926 0.0000 0.7500  2 Dy 3.29, 4 La 3.37-3.46, 4 Th 3.54-3.63
Th 0.0000 0.0000 0.0000  2 Th 3.28, 2 La 3.36, 4 Dy 3.54-3.63
Th 0.0000 0.0000 0.5000  2 Th 3.28, 2 La 3.36, 4 Dy 3.54-3.63

Summary:
The calculation puts the formation enthalpy at 0 K at 0.32 eV/atom. As for the space group: P2/c (13).

Material: ZrCr2Tc
Method: DFT, PBE
State: relaxed

Cell lengths 4.0203, 3.9977, 3.9977 Å; angles 90.00, 90.00, 90.00 degrees
Closest atoms and distances in Å follow each position.
Sites, in units of the cell vectors:
Cr 0.0000 0.0000 0.0000  4 Cr 2.83, 4 Zr 2.83, 4 Tc 2.83
Cr 0.0000 0.5000 0.5000  4 Cr 2.83, 4 Zr 2.83, 4 Tc 2.83
Tc 0.5000 0.5000 0.0000  4 Zr 2.83, 8 Cr 2.83
Zr 0.5000 0.0000 0.5000  4 Tc 2.83, 8 Cr 2.83

Summary:
The calculation puts the formation enthalpy at 0 K at 0.38 eV/atom. As for the space group: P4/mmm (123).

Material: Pm2SnO
Method: DFT, PBE
State: relaxed

Cell lengths 3.3521, 4.3969, 7.0817 Å; angles 90.02, 90.00, 90.00 degrees
Closest atoms and distances in Å follow each position.
Sites, in units of the cell vectors:
Pm 0.0000 0.5002 0.7611  2 O 2.38
Pm 0.0000 0.4998 0.2389  2 O 2.38
Sn 0.5000 0.0000 0.5000  8 Pm 3.33, 2 Sn 3.35
O 0.5000 0.5000 0.0000  4 Pm 2.38

Summary:
The uncorrected formation energy is -638.6 kJ/mol of formula units. As for the space group: Pmmm (47).

Material: LiTb3Rh2
Method: DFT, PBE
State: relaxed

Cell lengths 4.9087, 4.9087, 12.1799 Å; angles 90.00, 90.00, 120.00 degrees
Closest atoms and distances in Å follow each position.
Sites, in units of the cell vectors:
Li 0.3333 0.6667 0.6698  8 Tb 3.03-3.09
Li 0.6667 0.3333 0.3302  8 Tb 3.03-3.09
Tb 0.3333 0.6667 0.4173  4 Rh 2.99-3.01, 4 Li 3.03-3.08
Tb 0.6667 0.3333 0.0764  7 Rh 2.98-3.06, 1 Li 3.09
Tb 0.0000 0.0000 0.7588  5 Rh 2.94-3.15, 3 Li 3.03
Tb 0.0000 0.0000 0.2412  5 Rh 2.94-3.15, 3 Li 3.03
Tb 0.3333 0.6667 0.9236  7 Rh 2.98-3.06, 1 Li 3.09
Tb 0.6667 0.3333 0.5827  4 Rh 2.99-3.01, 4 Li 3.03-3.08
Rh 0.0000 0.0000 0.5000  8 Tb 3.01-3.15
Rh 0.3333 0.6667 0.1721  8 Tb 2.96-3.06
Rh 0.6667 0.3333 0.8279  8 Tb 2.96-3.06
Rh 0.0000 0.0000 0.0000  8 Tb 2.94-2.98

Summary:
The calculation puts the formation enthalpy at 0 K at -0.61 eV/atom. As for the space group: P-3m1 (164).

Material: CsMn2TlCl8
Method: DFT, PBE
State: relaxed

Cell lengths 6.8912, 6.8912, 10.1454 Å; angles 90.00, 90.00, 120.00 degrees
Closest atoms and distances in Å follow each position.
Sites, in units of the cell vectors:
Cs 0.0000 0.0000 0.0000  12 Cl 3.85-3.99
Mn 0.6667 0.3333 0.2399  4 Cl 2.21-2.24
Mn 0.3333 0.6667 0.7601  4 Cl 2.21-2.24
Tl 0.0000 0.0000 0.5000  6 Cl 3.08
Cl 0.3333 0.6667 0.9775  1 Mn 2.21
Cl 0.3505 0.3249 0.3022  1 Mn 2.24
Cl 0.6751 0.0257 0.3022  1 Mn 2.24
Cl 0.6667 0.3333 0.0225  1 Mn 2.21
Cl 0.3249 0.9743 0.6978  1 Mn 2.24
Cl 0.6495 0.6751 0.6978  1 Mn 2.24
Cl 0.0257 0.3505 0.6978  1 Mn 2.24
Cl 0.9743 0.6495 0.3022  1 Mn 2.24

Summary:
The uncorrected formation energy is -1286.4 kJ/mol of formula units. As for the space group: P-3 (147).

Material: CeLuAgRh
Method: DFT, PBE
State: relaxed

Cell lengths 4.9959, 4.9959, 4.9959 Å; angles 60.00, 60.00, 60.00 degrees
Closest atoms and distances in Å follow each position.
Sites, in units of the cell vectors:
Lu 0.0000 0.0000 0.0000  4 Ag 3.06, 4 Rh 3.06
Rh 0.7500 0.7500 0.7500  4 Ce 3.06, 4 Lu 3.06
Ag 0.2500 0.2500 0.2500  4 Ce 3.06, 4 Lu 3.06
Ce 0.5000 0.5000 0.5000  4 Rh 3.06, 4 Ag 3.06

Summary:
The calculation puts the formation enthalpy at 0 K at -0.47 eV/atom. As for the space group: F-43m (216).

Q: Number 6 is which compound?
A: LiTb3Rh2

Copy entry 4 word for word.
Material: ZrCr2Tc
Method: DFT, PBE
State: relaxed

Cell lengths 4.0203, 3.9977, 3.9977 Å; angles 90.00, 90.00, 90.00 degrees
Closest atoms and distances in Å follow each position.
Sites, in units of the cell vectors:
Cr 0.0000 0.0000 0.0000  4 Cr 2.83, 4 Zr 2.83, 4 Tc 2.83
Cr 0.0000 0.5000 0.5000  4 Cr 2.83, 4 Zr 2.83, 4 Tc 2.83
Tc 0.5000 0.5000 0.0000  4 Zr 2.83, 8 Cr 2.83
Zr 0.5000 0.0000 0.5000  4 Tc 2.83, 8 Cr 2.83

Summary:
The calculation puts the formation enthalpy at 0 K at 0.38 eV/atom. As for the space group: P4/mmm (123).